# 1
GaCo4: PBEsol geometry, SCAN.

Cell and atoms, written as CIF:
```
data_GaCo4
_cell_length_a 2.541
_cell_length_b 2.541
_cell_length_c 29.685
_cell_angle_alpha 90.00
_cell_angle_beta 90.00
_cell_angle_gamma 120.00
_symmetry_space_group_name_H-M 'P 1'
_symmetry_Int_Tables_number 1
loop_
_symmetry_equiv_pos_as_xyz
'x,y,z'
loop_
_atom_site_label
_atom_site_type_symbol
_atom_site_fract_x
_atom_site_fract_y
_atom_site_fract_z
Ga1 Ga 0.000 0.000 0.000
Ga2 Ga 0.333 0.667 0.667
Ga3 Ga 0.667 0.333 0.333
Co1 Co 0.000 0.000 0.200
Co2 Co 0.000 0.000 0.402
Co3 Co 0.000 0.000 0.598
Co4 Co 0.000 0.000 0.800
Co5 Co 0.333 0.667 0.069
Co6 Co 0.333 0.667 0.264
Co7 Co 0.333 0.667 0.467
Co8 Co 0.333 0.667 0.867
Co9 Co 0.667 0.333 0.133
Co10 Co 0.667 0.333 0.533
Co11 Co 0.667 0.333 0.736
Co12 Co 0.667 0.333 0.931
```

Summary:
Space-group type: No. 166
Size of the total moment in Bohr magnetons per cell: 20.91
Formation energy from the elements in eV per atom: 0.06


# 2
Ga3Co: PBEsol geometry, SCAN.

Cell and atoms, written as CIF:
```
data_Ga3Co
_cell_length_a 6.165
_cell_length_b 6.165
_cell_length_c 6.341
_cell_angle_alpha 90.00
_cell_angle_beta 90.00
_cell_angle_gamma 90.00
_symmetry_space_group_name_H-M 'P 1'
_symmetry_Int_Tables_number 1
loop_
_symmetry_equiv_pos_as_xyz
'x,y,z'
loop_
_atom_site_label
_atom_site_type_symbol
_atom_site_fract_x
_atom_site_fract_y
_atom_site_fract_z
Ga1 Ga 0.000 0.500 0.000
Ga2 Ga 0.000 0.500 0.500
Ga3 Ga 0.152 0.152 0.245
Ga4 Ga 0.152 0.152 0.755
Ga5 Ga 0.348 0.652 0.255
Ga6 Ga 0.348 0.652 0.745
Ga7 Ga 0.500 0.000 0.000
Ga8 Ga 0.500 0.000 0.500
Ga9 Ga 0.652 0.348 0.255
Ga10 Ga 0.652 0.348 0.745
Ga11 Ga 0.848 0.848 0.245
Ga12 Ga 0.848 0.848 0.755
Co1 Co 0.154 0.846 0.000
Co2 Co 0.346 0.346 0.500
Co3 Co 0.654 0.654 0.500
Co4 Co 0.846 0.154 0.000
```

Summary:
Space-group type: No. 136
Size of the total moment in Bohr magnetons per cell: 0.00
Formation energy from the elements in eV per atom: -0.23


Q: Among the records above, which one has the highest size of the total moment?
A: GaCo4


Please write out number 1 again, unchanged.
GaCo4: PBEsol geometry, SCAN.

Cell and atoms, written as CIF:
```
data_GaCo4
_cell_length_a 2.541
_cell_length_b 2.541
_cell_length_c 29.685
_cell_angle_alpha 90.00
_cell_angle_beta 90.00
_cell_angle_gamma 120.00
_symmetry_space_group_name_H-M 'P 1'
_symmetry_Int_Tables_number 1
loop_
_symmetry_equiv_pos_as_xyz
'x,y,z'
loop_
_atom_site_label
_atom_site_type_symbol
_atom_site_fract_x
_atom_site_fract_y
_atom_site_fract_z
Ga1 Ga 0.000 0.000 0.000
Ga2 Ga 0.333 0.667 0.667
Ga3 Ga 0.667 0.333 0.333
Co1 Co 0.000 0.000 0.200
Co2 Co 0.000 0.000 0.402
Co3 Co 0.000 0.000 0.598
Co4 Co 0.000 0.000 0.800
Co5 Co 0.333 0.667 0.069
Co6 Co 0.333 0.667 0.264
Co7 Co 0.333 0.667 0.467
Co8 Co 0.333 0.667 0.867
Co9 Co 0.667 0.333 0.133
Co10 Co 0.667 0.333 0.533
Co11 Co 0.667 0.333 0.736
Co12 Co 0.667 0.333 0.931
```

Summary:
Space-group type: No. 166
Size of the total moment in Bohr magnetons per cell: 20.91
Formation energy from the elements in eV per atom: 0.06


Q: Among the records above, which one has the lowest size of the total moment?
A: Ga3Co


Q: size of the total moment of number 2 (Ga3Co)?
A: 0.00 Bohr magnetons per cell